A plane-wave DFT calculation with PBE-GGA was carried out for crystalline LiIrSN2 at its relaxed geometry.

Cell and atoms, written as extended XYZ:
```
5
Lattice="3.7527 0.0000 0.0000 0.0000 3.7527 0.0000 0.0000 0.0000 5.2971" Properties=species:S:1:pos:R:3 pbc="T T T"
Li 0.0000 0.0000 0.0000
Ir 1.8764 1.8764 2.6486
S 1.8764 1.8764 0.0000
N 0.0000 1.8764 2.6486
N 1.8764 0.0000 2.6486
```

The total energy comes out at -5.884 eV/atom. As for the symmetry: P4/mmm, No. 123. The relative energy among the computed polymorphs comes out at 0.000 eV per atom.



A plane-wave DFT calculation with PBE-GGA was carried out for crystalline LiIrS2N at its relaxed geometry.

Cell and atoms, written as extended XYZ:
```
5
Lattice="4.4182 0.0000 0.0000 0.0000 4.4182 0.0000 0.0000 0.0000 3.3120" Properties=species:S:1:pos:R:3 pbc="T T T"
Li 0.0000 0.0000 0.0000
Ir 2.2091 2.2091 1.6560
S 0.0000 2.2091 0.0000
S 2.2091 0.0000 0.0000
N 0.0000 0.0000 1.6560
```

The total energy comes out at -4.135 eV/atom. As for the symmetry: P4/mmm, No. 123. The relative energy among the computed polymorphs comes out at 1.154 eV per atom.



A plane-wave DFT calculation with PBE-GGA was carried out for crystalline LiIrS2N at its relaxed geometry.

Cell and atoms, written as extended XYZ:
```
5
Lattice="4.9437 0.0000 0.0000 0.0000 4.9437 0.0000 0.0000 0.0000 3.6508" Properties=species:S:1:pos:R:3 pbc="T T T"
Li 0.0000 0.0000 0.0000
Ir 2.4718 2.4718 1.8254
S 0.0000 2.4718 1.8254
S 2.4718 0.0000 1.8254
N 2.4718 2.4718 0.0000
```

The total energy comes out at -5.289 eV/atom. As for the symmetry: P4/mmm, No. 123. The relative energy among the computed polymorphs comes out at 0.000 eV per atom.



A plane-wave DFT calculation with PBE-GGA was carried out for crystalline LiIrSN2 at its relaxed geometry.

Cell and atoms, written as extended XYZ:
```
5
Lattice="3.5956 0.0000 0.0000 0.0000 3.5956 0.0000 0.0000 0.0000 4.2694" Properties=species:S:1:pos:R:3 pbc="T T T"
Li 0.0000 0.0000 0.0000
Ir 1.7978 1.7978 2.1347
S 0.0000 0.0000 2.1347
N 0.0000 1.7978 0.0000
N 1.7978 0.0000 0.0000
```

The total energy comes out at -4.433 eV/atom. As for the symmetry: P4/mmm, No. 123. The relative energy among the computed polymorphs comes out at 1.451 eV per atom.



A plane-wave DFT calculation with PBE-GGA was carried out for crystalline LiIrSeN2 at its relaxed geometry.

Cell and atoms, written as extended XYZ:
```
5
Lattice="3.7682 0.0000 0.0000 0.0000 3.7682 0.0000 0.0000 0.0000 5.5732" Properties=species:S:1:pos:R:3 pbc="T T T"
Li 0.0000 0.0000 0.0000
Ir 1.8841 1.8841 2.7866
Se 1.8841 1.8841 0.0000
N 0.0000 1.8841 2.7866
N 1.8841 0.0000 2.7866
```

The total energy comes out at -5.778 eV/atom. As for the symmetry: P4/mmm, No. 123. The relative energy among the computed polymorphs comes out at 0.000 eV per atom.



A plane-wave DFT calculation with PBE-GGA was carried out for crystalline LiIrSe2N at its relaxed geometry.

Cell and atoms, written as extended XYZ:
```
5
Lattice="5.2442 0.0000 0.0000 0.0000 5.2442 0.0000 0.0000 0.0000 3.6351" Properties=species:S:1:pos:R:3 pbc="T T T"
Li 0.0000 0.0000 0.0000
Ir 2.6221 2.6221 1.8175
Se 0.0000 2.6221 1.8175
Se 2.6221 0.0000 1.8175
N 2.6221 2.6221 0.0000
```

The total energy comes out at -5.121 eV/atom. As for the symmetry: P4/mmm, No. 123. The relative energy among the computed polymorphs comes out at 0.000 eV per atom.



A plane-wave DFT calculation with PBE-GGA was carried out for crystalline LiIrSeN2 at its relaxed geometry.

Cell and atoms, written as extended XYZ:
```
5
Lattice="3.6933 0.0000 0.0000 0.0000 3.6933 0.0000 0.0000 0.0000 4.4106" Properties=species:S:1:pos:R:3 pbc="T T T"
Li 0.0000 0.0000 0.0000
Ir 1.8466 1.8466 2.2053
Se 0.0000 0.0000 2.2053
N 0.0000 1.8466 0.0000
N 1.8466 0.0000 0.0000
```

The total energy comes out at -4.294 eV/atom. As for the symmetry: P4/mmm, No. 123. The relative energy among the computed polymorphs comes out at 1.483 eV per atom.



A plane-wave DFT calculation with PBE-GGA was carried out for crystalline LiIrSe2N at its relaxed geometry.

Cell and atoms, written as extended XYZ:
```
5
Lattice="4.6821 0.0000 0.0000 0.0000 4.6821 0.0000 0.0000 0.0000 3.3148" Properties=species:S:1:pos:R:3 pbc="T T T"
Li 0.0000 0.0000 0.0000
Ir 2.3410 2.3410 1.6574
Se 0.0000 2.3410 0.0000
Se 2.3410 0.0000 0.0000
N 0.0000 0.0000 1.6574
```

The total energy comes out at -4.049 eV/atom. As for the symmetry: P4/mmm, No. 123. The relative energy among the computed polymorphs comes out at 1.072 eV per atom.



A plane-wave DFT calculation with PBE-GGA was carried out for crystalline Sr2LiIrN at its relaxed geometry.

Cell and atoms, written as extended XYZ:
```
5
Lattice="5.4699 0.0000 0.0000 0.0000 5.4699 0.0000 0.0000 0.0000 3.8354" Properties=species:S:1:pos:R:3 pbc="T T T"
Sr 0.0000 2.7350 0.0000
Sr 2.7350 0.0000 0.0000
Li 0.0000 0.0000 1.9177
Ir 2.7350 2.7350 1.9177
N 2.7350 2.7350 0.0000
```

The total energy comes out at -4.885 eV/atom. As for the symmetry: P4/mmm, No. 123.



A plane-wave DFT calculation with PBE-GGA was carried out for crystalline LiTeIrN2 at its relaxed geometry.

Cell and atoms, written as extended XYZ:
```
5
Lattice="3.8119 0.0000 0.0000 0.0000 3.8119 0.0000 0.0000 0.0000 5.8709" Properties=species:S:1:pos:R:3 pbc="T T T"
Li 0.0000 0.0000 0.0000
Te 1.9060 1.9060 0.0000
Ir 1.9060 1.9060 2.9355
N 0.0000 1.9060 2.9355
N 1.9060 0.0000 2.9355
```

The total energy comes out at -5.625 eV/atom. As for the symmetry: P4/mmm, No. 123. The relative energy among the computed polymorphs comes out at 0.000 eV per atom.



A plane-wave DFT calculation with PBE-GGA was carried out for crystalline LiTe2IrN at its relaxed geometry.

Cell and atoms, written as extended XYZ:
```
5
Lattice="5.6519 0.0000 0.0000 0.0000 5.6519 0.0000 0.0000 0.0000 3.6319" Properties=species:S:1:pos:R:3 pbc="T T T"
Li 0.0000 0.0000 0.0000
Te 0.0000 2.8259 1.8160
Te 2.8259 0.0000 1.8160
Ir 2.8259 2.8259 1.8160
N 2.8259 2.8259 0.0000
```

The total energy comes out at -5.029 eV/atom. As for the symmetry: P4/mmm, No. 123. The relative energy among the computed polymorphs comes out at 0.000 eV per atom.



A plane-wave DFT calculation with PBE-GGA was carried out for crystalline LiTe2IrN at its relaxed geometry.

Cell and atoms, written as extended XYZ:
```
5
Lattice="5.0323 0.0000 0.0000 0.0000 5.0323 0.0000 0.0000 0.0000 3.3299" Properties=species:S:1:pos:R:3 pbc="T T T"
Li 0.0000 0.0000 0.0000
Te 0.0000 2.5161 0.0000
Te 2.5161 0.0000 0.0000
Ir 2.5161 2.5161 1.6650
N 0.0000 0.0000 1.6650
```

The total energy comes out at -4.057 eV/atom. As for the symmetry: P4/mmm, No. 123. The relative energy among the computed polymorphs comes out at 0.972 eV per atom.



no.,formation energy from raw total energies (eV/atom),calculated volume (Å³ per atom)
1,0.43,14.9
2,1.34,12.9
3,0.18,17.8
4,1.88,11.0
5,0.40,15.8
6,0.09,20.0
7,1.89,12.0
8,1.16,14.5
9,-0.39,23.0
10,0.49,17.1
11,0.05,23.2
12,1.02,16.9